Record 1
4
Lattice="-1.977 3.897 0.376 -2.062 1.064 3.722 1.686 3.069 2.641" Properties=species:S:1:pos:R:3 comment="NpUFeCo | Alexandria | GGA-PBE | relaxed" density_kg_m3=16416 pbc="T T T"
Fe -0.588 2.007 1.685
Co 0.000 0.000 0.000
U -1.176 4.015 3.369
Np -1.764 6.022 5.054

---

Record 2
4
Lattice="4.395 0.000 0.000 2.198 3.806 0.000 2.198 1.269 3.589" Properties=species:S:1:pos:R:3 comment="NpUFeCo | Alexandria | GGA-PBE | relaxed" density_kg_m3=16313 pbc="T T T"
U 0.000 0.000 0.000
Fe 4.395 2.538 1.794
Np 2.198 1.269 0.897
Co 6.593 3.806 2.692

---

no.,ΔE_f (eV per atom),excess energy over the best structure of this formula in the dataset (meV per atom),VASP energy (eV/atom)
1,-0.166,4,-10.116
2,-0.170,0,-10.119